1.
{"formula": "Na5Sb2Cl12", "functional": "PBE", "state": "optimized geometry", "lattice": [[6.9993, -3.9410, 0.0000], [6.9993, 3.9410, 0.0000], [-3.0182, 0.0000, 10.0564]], "species": ["Na", "Na", "Na", "Na", "Na", "Sb", "Sb", "Cl", "Cl", "Cl", "Cl", "Cl", "Cl", "Cl", "Cl", "Cl", "Cl", "Cl", "Cl"], "fractional_positions": [[0.0000, 0.0000, 0.0000], [0.2966, 0.2966, 0.1359], [0.3043, 0.3043, 0.7888], [0.6957, 0.6957, 0.2112], [0.7034, 0.7034, 0.8641], [0.2475, 0.7525, 0.5000], [0.7525, 0.2475, 0.5000], [0.0433, 0.0433, 0.3498], [0.0749, 0.5571, 0.3536], [0.1167, 0.6109, 0.9807], [0.3891, 0.8833, 0.0193], [0.4429, 0.9251, 0.6464], [0.4639, 0.4639, 0.6609], [0.5361, 0.5361, 0.3391], [0.5571, 0.0749, 0.3536], [0.6109, 0.1167, 0.9807], [0.8833, 0.3891, 0.0193], [0.9251, 0.4429, 0.6464], [0.9567, 0.9567, 0.6502]], "total_energy_ev_per_atom": -3.17}

=====

2.
{"formula": "Si2TcAg", "functional": "PBE", "state": "optimized geometry", "lattice": [[0.0000, 3.1251, 3.1251], [3.1251, 0.0000, 3.1251], [3.1251, 3.1251, 0.0000]], "species": ["Si", "Si", "Tc", "Ag"], "fractional_positions": [[0.0000, 0.0000, 0.0000], [0.2500, 0.2500, 0.2500], [0.7500, 0.7500, 0.7500], [0.5000, 0.5000, 0.5000]], "total_energy_ev_per_atom": -5.43}

=====

3.
{"formula": "BeSiSn", "functional": "PBE", "state": "optimized geometry", "lattice": [[3.5469, -2.0863, 0.0000], [3.5469, 2.0863, 0.0000], [-1.6798, 0.0000, 7.5969]], "species": ["Be", "Be", "Si", "Si", "Sn", "Sn"], "fractional_positions": [[0.2494, 0.7506, 0.0000], [0.7506, 0.2494, 0.0000], [0.2819, 0.2819, 0.1330], [0.7181, 0.7181, 0.8670], [0.1891, 0.1891, 0.6292], [0.8109, 0.8109, 0.3708]], "total_energy_ev_per_atom": -4.15}

=====

4.
{"formula": "ZrSb2Pd", "functional": "PBE", "state": "optimized geometry", "lattice": [[0.0000, 3.5010, 3.5010], [3.5010, 0.0000, 3.5010], [3.5010, 3.5010, 0.0000]], "species": ["Zr", "Sb", "Sb", "Pd"], "fractional_positions": [[0.0000, 0.0000, 0.0000], [0.2500, 0.2500, 0.2500], [0.7500, 0.7500, 0.7500], [0.5000, 0.5000, 0.5000]], "total_energy_ev_per_atom": -5.80}

=====

5.
{"formula": "Th2InRh", "functional": "PBE", "state": "optimized geometry", "lattice": [[6.4404, 0.0000, 0.0000], [0.0000, 3.9149, 0.0000], [-2.6035, 0.0000, 8.6346]], "species": ["Th", "Th", "Th", "Th", "In", "In", "Rh", "Rh"], "fractional_positions": [[0.1627, 0.2500, 0.3927], [0.2649, 0.7500, 0.0473], [0.7351, 0.2500, 0.9527], [0.8373, 0.7500, 0.6073], [0.3752, 0.7500, 0.6987], [0.6248, 0.2500, 0.3013], [0.1049, 0.2500, 0.8092], [0.8951, 0.7500, 0.1908]], "total_energy_ev_per_atom": -6.79, "e_form_kj_per_mol_atoms": -53.74}

=====

6.
{"formula": "KTc2Te", "functional": "PBE", "state": "optimized geometry", "lattice": [[2.9448, 0.0000, 0.0000], [0.0000, 5.3341, 0.0000], [-0.0073, 0.0000, 6.1447]], "species": ["K", "Tc", "Tc", "Te"], "fractional_positions": [[0.0000, 0.0000, 0.0000], [0.4990, 0.5000, 0.3250], [0.5010, 0.5000, 0.6750], [0.5000, 0.0000, 0.5000]], "total_energy_ev_per_atom": -5.37}

=====

7.
{"formula": "CsB4O7", "functional": "PBE", "state": "optimized geometry", "lattice": [[11.2825, 0.0000, 0.0000], [0.0000, 4.6699, 0.0000], [0.0000, 0.0000, 4.3905]], "species": ["Cs", "Cs", "B", "B", "B", "B", "B", "B", "B", "B", "O", "O", "O", "O", "O", "O", "O", "O", "O", "O", "O", "O", "O", "O"], "fractional_positions": [[0.0000, 0.2193, 0.0000], [0.5000, 0.7807, 0.5000], [0.1240, 0.6738, 0.5306], [0.2470, 0.8276, 0.9994], [0.2530, 0.1724, 0.4994], [0.3760, 0.3262, 0.0306], [0.6240, 0.3262, 0.0306], [0.7470, 0.1724, 0.4994], [0.7530, 0.8276, 0.9994], [0.8760, 0.6738, 0.5306], [0.0000, 0.7227, 0.4430], [0.1416, 0.7403, 0.8481], [0.1597, 0.3797, 0.4746], [0.2107, 0.8893, 0.3443], [0.2893, 0.1107, 0.8443], [0.3403, 0.6203, 0.9746], [0.3584, 0.2597, 0.3481], [0.5000, 0.2773, 0.9430], [0.6416, 0.2597, 0.3481], [0.6597, 0.6203, 0.9746], [0.7107, 0.1107, 0.8443], [0.7893, 0.8893, 0.3443], [0.8403, 0.3797, 0.4746], [0.8584, 0.7403, 0.8481]], "total_energy_ev_per_atom": -7.31}

=====

8.
{"formula": "TmMg2Ti", "functional": "PBE", "state": "optimized geometry", "lattice": [[4.4833, 0.0000, 0.0000], [0.0000, 4.4833, 0.0000], [0.0000, 0.0000, 4.6047]], "species": ["Tm", "Mg", "Mg", "Ti"], "fractional_positions": [[0.0000, 0.0000, 0.0000], [0.0000, 0.5000, 0.5000], [0.5000, 0.0000, 0.5000], [0.5000, 0.5000, 0.0000]], "total_energy_ev_per_atom": -3.74, "e_form_kj_per_mol_atoms": 14.85}